Entry 1:
Compound: In3Cu
Source: Alexandria
Functional: PBE
Structure: optimized geometry

## Properties
Space-group type: Cmmm (65)
Formation enthalpy at 0 K (meV per atom): 195
E (eV per atom): -2.882

abc: 5.345 5.345 3.374
angles: 90.00 90.00 109.57
Fractional coordinates of all 4 atoms:
Cu 0.000 0.000 0.000
In 0.000 0.500 0.500
In 0.500 0.000 0.500
In 0.500 0.500 0.000

---

Entry 2:
Compound: In3Cu
Source: Alexandria
Functional: PBE
Structure: optimized geometry

## Properties
Space-group type: R-3m (166)
Formation enthalpy at 0 K (meV per atom): 88
E (eV per atom): -2.990

abc: 9.100 9.100 9.100
angles: 22.01 22.01 22.01
Fractional coordinates of all 4 atoms:
Cu 0.000 0.000 0.000
In 0.264 0.264 0.264
In 0.500 0.500 0.500
In 0.736 0.736 0.736